1.
An optimized crystal structure of TlPb2I2. Source: the Alexandria database, functional PBE.

Cell: 8.3799 8.3799 5.2360 Å, 90.00 90.00 90.00°
Closest atoms and distances in Å follow each position.
Fractional positions:
Pb 0.8553 0.6447 0.0000  2 Tl 3.21, 2 I 3.34, 1 Pb 3.43
Pb 0.6447 0.1447 0.0000  2 Tl 3.21, 2 I 3.34, 1 Pb 3.43
Pb 0.3553 0.8553 0.0000  2 Tl 3.21, 2 I 3.34, 1 Pb 3.43
Pb 0.1447 0.3553 0.0000  2 Tl 3.21, 2 I 3.34, 1 Pb 3.43
Tl 0.0000 0.0000 0.0000  4 Pb 3.21
Tl 0.5000 0.5000 0.0000  4 Pb 3.21
I 0.8199 0.3199 0.5000  2 Pb 3.34
I 0.6801 0.8199 0.5000  2 Pb 3.34
I 0.1801 0.6801 0.5000  2 Pb 3.34
I 0.3199 0.1801 0.5000  2 Pb 3.34

Excess energy over the best structure of this formula in the dataset (eV/atom): 0.085
Total magnetization (μB/f.u.): 0.0
Uncorrected formation energy (eV per atom): -0.168

---

2.
An optimized crystal structure of TlPb2I. Source: the Alexandria database, functional PBE.

Cell: 6.6230 6.6230 9.7735 Å, 70.19 70.19 90.00°
Closest atoms and distances in Å follow each position.
Fractional positions:
Pb 0.0923 0.6250 0.2500  2 Tl 3.07, 2 I 3.29
Pb 0.3750 0.3423 0.7500  2 Tl 3.07, 2 I 3.29
Pb 0.6577 0.1250 0.2500  2 Tl 3.07, 2 I 3.29
Pb 0.8750 0.9077 0.7500  2 Tl 3.07, 2 I 3.29
Tl 0.7500 0.2500 0.5000  4 Pb 3.07
Tl 0.0000 0.0000 0.0000  4 Pb 3.07
I 0.5000 0.5000 0.0000  4 Pb 3.29
I 0.2500 0.7500 0.5000  4 Pb 3.29

Excess energy over the best structure of this formula in the dataset (eV/atom): 0.157
Total magnetization (μB/f.u.): 0.0
Uncorrected formation energy (eV per atom): 0.228

---

3.
An optimized crystal structure of UTlPbI6. Source: the Alexandria database, functional PBE.

Cell: 8.1930 8.1930 15.1822 Å, 90.00 90.00 120.00°
Closest atoms and distances in Å follow each position.
Fractional positions:
U 0.6667 0.3333 0.2500  6 I 3.14
U 0.3333 0.6667 0.7500  6 I 3.14
Pb 0.6667 0.3333 0.7500  6 I 3.26
Pb 0.3333 0.6667 0.2500  6 I 3.26
I 0.3654 0.3538 0.3696  1 U 3.14, 1 Pb 3.26
I 0.3654 0.0116 0.1304  1 U 3.14, 1 Pb 3.26
I 0.9884 0.6346 0.3696  1 U 3.14, 1 Pb 3.26
I 0.6346 0.6462 0.6304  1 U 3.14, 1 Pb 3.26
I 0.0116 0.6462 0.8696  1 U 3.14, 1 Pb 3.26
I 0.0116 0.3654 0.6304  1 U 3.14, 1 Pb 3.26
I 0.6346 0.9884 0.8696  1 U 3.14, 1 Pb 3.26
I 0.3538 0.3654 0.8696  1 U 3.14, 1 Pb 3.26
I 0.6462 0.6346 0.1304  1 U 3.14, 1 Pb 3.26
I 0.6462 0.0116 0.3696  1 U 3.14, 1 Pb 3.26
I 0.3538 0.9884 0.6304  1 U 3.14, 1 Pb 3.26
I 0.9884 0.3538 0.1304  1 U 3.14, 1 Pb 3.26
Tl 0.0000 0.0000 0.5000  6 I 3.55
Tl 0.0000 0.0000 0.0000  6 I 3.55

Total magnetization (μB/f.u.): 3.0
Uncorrected formation energy (eV per atom): -0.721

---

4.
An optimized crystal structure of YTlPb2I8. Source: the Alexandria database, functional PBE.

Cell: 7.8235 7.3333 9.6954 Å, 89.97 89.99 89.08°
Closest atoms and distances in Å follow each position.
Fractional positions:
Pb 0.4999 0.5000 0.2499  6 I 3.17-3.41
Pb 0.5001 0.5000 0.7501  6 I 3.17-3.41
Y 0.0000 0.0000 0.0000  6 I 3.04-3.09
I 0.1528 0.7550 0.7781  1 Y 3.04, 1 Pb 3.28
I 0.3248 0.2353 0.0001  1 Y 3.09, 2 Pb 3.41
I 0.8476 0.2453 0.7779  1 Y 3.04, 1 Pb 3.28
I 0.3619 0.2651 0.5001  2 Pb 3.17, 1 Tl 3.46
I 0.6381 0.7349 0.4999  2 Pb 3.17, 1 Tl 3.46
I 0.6752 0.7647 0.9999  1 Y 3.09, 2 Pb 3.41
I 0.1524 0.7547 0.2221  1 Y 3.04, 1 Pb 3.28
I 0.8472 0.2450 0.2219  1 Y 3.04, 1 Pb 3.28
Tl 0.0000 0.0000 0.5000  6 I 3.44-3.46

Total magnetization (μB/f.u.): 0.0
Uncorrected formation energy (eV per atom): -0.861

---

5.
An optimized crystal structure of TmPbI. Source: the Alexandria database, functional PBE.

Cell: 3.9798 8.2915 8.6920 Å, 61.69 76.77 76.11°
Closest atoms and distances in Å follow each position.
Fractional positions:
Tm 0.7560 0.7768 0.7113  3 Pb 3.07-3.19, 3 I 3.08-3.09
Tm 0.2440 0.2232 0.2887  3 Pb 3.07-3.19, 3 I 3.08-3.09
Pb 0.1600 0.6402 0.0397  3 Tm 3.07-3.19, 2 Pb 3.29
Pb 0.8400 0.3598 0.9603  3 Tm 3.07-3.19, 2 Pb 3.29
I 0.6116 0.2003 0.5764  3 Tm 3.08-3.09
I 0.3884 0.7997 0.4236  3 Tm 3.08-3.09

Total magnetization (μB/f.u.): 0.0
Uncorrected formation energy (eV per atom): -0.506

---

6.
An optimized crystal structure of Tm2PbI3. Source: the Alexandria database, functional PBE.

Cell: 4.0111 11.8831 10.8848 Å, 88.02 79.38 80.28°
Closest atoms and distances in Å follow each position.
Fractional positions:
Tm 0.1258 0.5780 0.1704  4 I 3.05-3.10, 2 Pb 3.10
Tm 0.5913 0.2663 0.5512  4 I 3.01-3.13, 2 Pb 3.18
Tm 0.8742 0.4220 0.8296  4 I 3.05-3.10, 2 Pb 3.10
Tm 0.4087 0.7337 0.4488  4 I 3.01-3.13, 2 Pb 3.18
I 0.0387 0.1720 0.7506  3 Tm 3.05-3.13
I 0.7677 0.8475 0.6172  2 Tm 3.01
I 0.2323 0.1525 0.3828  2 Tm 3.01
I 0.6893 0.6544 0.9670  3 Tm 3.09-3.10
I 0.9613 0.8280 0.2494  3 Tm 3.05-3.13
I 0.3107 0.3456 0.0330  3 Tm 3.09-3.10
Pb 0.5823 0.4750 0.3604  1 Pb 3.05, 4 Tm 3.10-3.18
Pb 0.4177 0.5250 0.6396  1 Pb 3.05, 4 Tm 3.10-3.18

Total magnetization (μB/f.u.): 0.0
Uncorrected formation energy (eV per atom): -0.895

---

7.
An optimized crystal structure of UPbI2. Source: the Alexandria database, functional PBE.

Cell: 3.7687 3.7687 11.7730 Å, 80.79 80.79 60.00°
Closest atoms and distances in Å follow each position.
Fractional positions:
U 0.0000 0.0000 0.0000  2 I 2.97
Pb 0.5000 0.5000 0.5000  6 I 3.56, 6 Pb 3.77
I 0.9145 0.9145 0.2565  1 U 2.97
I 0.0855 0.0855 0.7435  1 U 2.97

Total magnetization (μB/f.u.): 3.3
Uncorrected formation energy (eV per atom): 0.203

---

8.
An optimized crystal structure of UPbI5. Source: the Alexandria database, functional PBE.

Cell: 8.2099 8.2099 12.1800 Å, 70.71 70.71 84.73°
Closest atoms and distances in Å follow each position.
Fractional positions:
I 0.3846 0.8152 0.3519  1 U 3.11, 1 Pb 3.11
I 0.1848 0.6154 0.1481  1 U 3.11, 1 Pb 3.11
I 0.6154 0.1848 0.6481  1 U 3.11, 1 Pb 3.11
I 0.7362 0.7927 0.0110  1 U 3.09, 1 Pb 3.23
I 0.8152 0.3846 0.8519  1 U 3.11, 1 Pb 3.11
I 0.2073 0.2638 0.4890  1 U 3.09, 1 Pb 3.23
I 0.7598 0.2402 0.2500  2 U 3.20, 1 Pb 3.50
I 0.2638 0.2073 0.9890  1 U 3.09, 1 Pb 3.23
I 0.7927 0.7362 0.5110  1 U 3.09, 1 Pb 3.23
I 0.2402 0.7598 0.7500  2 U 3.20, 1 Pb 3.50
Pb 0.0760 0.9240 0.2500  4 I 3.11-3.23
Pb 0.9240 0.0760 0.7500  4 I 3.11-3.23
U 0.0000 0.5000 0.0000  6 I 3.09-3.20
U 0.5000 0.0000 0.5000  6 I 3.09-3.20

Total magnetization (μB/f.u.): 3.0
Uncorrected formation energy (eV per atom): -0.667

---

9.
An optimized crystal structure of UPb2I8. Source: the Alexandria database, functional PBE.

Cell: 8.3957 8.8098 8.8098 Å, 55.03 90.44 90.44°
Closest atoms and distances in Å follow each position.
Fractional positions:
I 0.3848 0.3081 0.3081  1 Pb 2.92
I 0.2511 0.7935 0.2980  1 U 3.02, 1 Pb 3.27
I 0.7489 0.7020 0.2065  1 U 3.02, 1 Pb 3.27
I 0.8897 0.1832 0.1832  1 U 3.02, 1 Pb 3.29
I 0.6152 0.6919 0.6919  1 Pb 2.92
I 0.2511 0.2980 0.7935  1 U 3.02, 1 Pb 3.27
I 0.7489 0.2065 0.7020  1 U 3.02, 1 Pb 3.27
I 0.1103 0.8168 0.8168  1 U 3.02, 1 Pb 3.29
U 0.0000 0.0000 0.0000  6 I 3.02
Pb 0.5075 0.1340 0.1340  1 I 2.92
Pb 0.4925 0.8660 0.8660  1 I 2.92

Total magnetization (μB/f.u.): 2.0
Uncorrected formation energy (eV per atom): -0.653

---

10.
An optimized crystal structure of VPbI2. Source: the Alexandria database, functional PBE.

Cell: 5.5203 5.5203 5.5203 Å, 60.00 60.00 60.00°
Closest atoms and distances in Å follow each position.
Fractional positions:
V 0.0000 0.0000 0.0000  8 I 3.38
I 0.7500 0.7500 0.7500  4 Pb 3.38, 4 V 3.38
I 0.2500 0.2500 0.2500  4 Pb 3.38, 4 V 3.38
Pb 0.5000 0.5000 0.5000  8 I 3.38

Total magnetization (μB/f.u.): 4.1
Uncorrected formation energy (eV per atom): 0.394

---

11.
An optimized crystal structure of V2PbI2. Source: the Alexandria database, functional PBE.

Cell: 9.2493 9.2493 3.5279 Å, 90.00 90.00 90.00°
Closest atoms and distances in Å follow each position.
Fractional positions:
Pb 0.0000 0.0000 0.0000  4 I 3.47, 2 Pb 3.53
Pb 0.5000 0.5000 0.0000  4 I 3.47, 2 Pb 3.53
V 0.0714 0.5714 0.5000  1 V 1.87
V 0.9286 0.4286 0.5000  1 V 1.87
V 0.5714 0.9286 0.5000  1 V 1.87
V 0.4286 0.0714 0.5000  1 V 1.87
I 0.3377 0.8377 0.0000  4 V 2.91
I 0.1623 0.3377 0.0000  4 V 2.91
I 0.6623 0.1623 0.0000  4 V 2.91
I 0.8377 0.6623 0.0000  4 V 2.91

Excess energy over the best structure of this formula in the dataset (eV/atom): 0.447
Total magnetization (μB/f.u.): 0.0
Uncorrected formation energy (eV per atom): 0.678

---

12.
An optimized crystal structure of V2PbI2. Source: the Alexandria database, functional PBE.

Cell: 3.6183 3.6183 10.4947 Å, 80.07 80.07 90.00°
Closest atoms and distances in Å follow each position.
Fractional positions:
V 0.2500 0.7500 0.5000  4 V 2.56, 4 I 2.74
V 0.7500 0.2500 0.5000  4 V 2.56, 4 I 2.74
Pb 0.0000 0.0000 0.0000  4 Pb 3.62, 8 I 3.97
I 0.6489 0.6489 0.7022  4 V 2.74
I 0.3511 0.3511 0.2978  4 V 2.74

Excess energy over the best structure of this formula in the dataset (eV/atom): 0.000
Total magnetization (μB/f.u.): 0.0
Uncorrected formation energy (eV per atom): 0.231

---

The highest uncorrected formation energy belongs to which entry? number 11